[1]
Here is crystalline CaEuTlPt at its relaxed geometry from the Alexandria database. Energies are from PBE.

```
16
Lattice="7.440 0.000 0.000 0.000 7.440 0.000 0.000 0.000 7.440" Properties=species:S:1:pos:R:3 pbc="T T T"
Ca 0.000 0.000 0.000
Ca 0.000 3.720 3.720
Ca 3.720 0.000 3.720
Ca 3.720 3.720 0.000
Eu 0.000 0.000 3.720
Eu 0.000 3.720 0.000
Eu 3.720 0.000 0.000
Eu 3.720 3.720 3.720
Tl 1.860 1.860 5.580
Tl 1.860 5.580 1.860
Tl 5.580 1.860 1.860
Tl 5.580 5.580 5.580
Pt 1.860 1.860 1.860
Pt 1.860 5.580 5.580
Pt 5.580 1.860 5.580
Pt 5.580 5.580 1.860
```

Calculated values
* energy relative to the elements: -0.56 eV/atom
* density of states at the Fermi level: 9.87 states/eV/f.u.
* SG: F-43m, No. 216


[2]
Here is crystalline Ta3Br at its relaxed geometry from the Alexandria database. Energies are from PBE.

```
16
Lattice="7.516 0.000 0.000 0.000 15.221 0.000 0.000 0.000 3.263" Properties=species:S:1:pos:R:3 pbc="T T T"
Ta 0.000 1.263 0.816
Ta 0.000 13.958 2.447
Ta 1.688 2.716 2.447
Ta 1.688 12.505 0.816
Ta 2.071 4.895 0.816
Ta 2.071 10.326 2.447
Ta 3.758 6.348 2.447
Ta 3.758 8.873 0.816
Ta 5.446 4.895 0.816
Ta 5.446 10.326 2.447
Ta 5.829 2.716 2.447
Ta 5.829 12.505 0.816
Br 0.000 6.289 0.816
Br 0.000 8.932 2.447
Br 3.758 1.321 2.447
Br 3.758 13.900 0.816
```

Calculated values
* formation energy from raw total energies: 0.690 eV/atom
* energy above the lowest structure with this stoichiometry: 338.1 meV per atom
* density of states at the Fermi level: 3.39 states/eV/f.u.
* SG: Cmcm, No. 63


[3]
Here is crystalline KNa3Cl4 at its relaxed geometry from the Alexandria database. Energies are from PBE.

```
16
Lattice="11.756 0.000 0.000 0.000 8.335 0.000 -0.004 0.000 4.137" Properties=species:S:1:pos:R:3 pbc="T T T"
K 0.000 0.000 0.000
K 5.878 4.167 0.000
Na 0.000 4.167 0.000
Na 2.937 2.084 2.069
Na 2.937 6.251 2.069
Na 5.878 0.000 0.000
Na 8.815 2.084 2.069
Na 8.815 6.251 2.069
Cl -0.002 2.239 2.069
Cl -0.002 6.096 2.069
Cl 2.834 4.167 0.006
Cl 3.041 0.000 4.132
Cl 5.876 1.929 2.069
Cl 5.876 6.406 2.069
Cl 8.712 0.000 0.006
Cl 8.919 4.167 4.132
```

Calculated values
* formation energy from raw total energies: -1.821 eV/atom
* density of states at the Fermi level: 0.00 states/eV/f.u.
* SG: C2/m, No. 12